# 1
Here is a relaxed La2YPt2 crystal from Alexandria via LeMat-Bulk. Energies are from PBE-GGA.

Geometry as CIF:
```
data_La2YPt2
_chemical_formula_sum 'La4 Y2 Pt4'
_cell_length_a 4.847
_cell_length_b 4.847
_cell_length_c 12.049
_cell_angle_alpha 90.00
_cell_angle_beta 90.00
_cell_angle_gamma 90.00
_space_group_name_H-M_alt 'I 4/m m m'
_space_group_IT_number 139
_space_group_name_Hall '-I 4 2'
loop_
_atom_site_label
_atom_site_type_symbol
_atom_site_fract_x
_atom_site_fract_y
_atom_site_fract_z
La1 La 0.000 0.500 0.250
Y1 Y 0.000 0.000 0.000
Pt1 Pt 0.000 0.000 0.391
```

## Properties
ΔE_f: -3.27 eV per formula unit
Excess energy over the best structure of this formula in the dataset: 340 meV/atom

# 2
Here is a relaxed La3YPt crystal from Alexandria via LeMat-Bulk. Energies are from PBE-GGA.

Geometry as CIF:
```
data_La3YPt
_chemical_formula_sum 'La3 Y1 Pt1'
_cell_length_a 5.629
_cell_length_b 5.629
_cell_length_c 5.629
_cell_angle_alpha 90.00
_cell_angle_beta 90.00
_cell_angle_gamma 90.00
_space_group_name_H-M_alt 'P m -3 m'
_space_group_IT_number 221
_space_group_name_Hall '-P 4 2 3'
loop_
_atom_site_label
_atom_site_type_symbol
_atom_site_fract_x
_atom_site_fract_y
_atom_site_fract_z
La1 La 0.000 0.000 0.500
Y1 Y 0.000 0.000 0.000
Pt1 Pt 0.500 0.500 0.500
```

## Properties
ΔE_f: 3.98 eV per formula unit
Excess energy over the best structure of this formula in the dataset: 1069 meV/atom

# 3
Here is a relaxed LaY2Pt crystal from Alexandria via LeMat-Bulk. Energies are from PBE-GGA.

Geometry as CIF:
```
data_LaY2Pt
_chemical_formula_sum 'La2 Y4 Pt2'
_cell_length_a 3.745
_cell_length_b 5.378
_cell_length_c 11.156
_cell_angle_alpha 90.00
_cell_angle_beta 90.00
_cell_angle_gamma 90.00
_space_group_name_H-M_alt 'I m m 2'
_space_group_IT_number 44
_space_group_name_Hall 'I 2 -2'
loop_
_atom_site_label
_atom_site_type_symbol
_atom_site_fract_x
_atom_site_fract_y
_atom_site_fract_z
La1 La 0.000 0.000 0.000
Y1 Y 0.000 0.000 0.401
Y2 Y 0.000 0.500 0.202
Pt1 Pt 0.000 0.500 0.708
```

## Properties
ΔE_f: -2.29 eV per formula unit
Excess energy over the best structure of this formula in the dataset: 111 meV/atom

# 4
Here is a relaxed LaY2Pt crystal from Alexandria via LeMat-Bulk. Energies are from PBE-GGA.

Geometry as CIF:
```
data_LaY2Pt
_chemical_formula_sum 'La1 Y2 Pt1'
_cell_length_a 4.013
_cell_length_b 4.553
_cell_length_c 6.555
_cell_angle_alpha 90.00
_cell_angle_beta 105.67
_cell_angle_gamma 90.00
_space_group_name_H-M_alt 'P 1 2/m 1'
_space_group_IT_number 10
_space_group_name_Hall '-P 2y'
loop_
_atom_site_label
_atom_site_type_symbol
_atom_site_fract_x
_atom_site_fract_y
_atom_site_fract_z
La1 La 0.000 0.000 0.000
Y1 Y 0.374 0.500 0.711
Pt1 Pt 0.000 0.000 0.500
```

## Properties
ΔE_f: -1.63 eV per formula unit
Excess energy over the best structure of this formula in the dataset: 277 meV/atom

# 5
Here is a relaxed LaY2Pt crystal from Alexandria via LeMat-Bulk. Energies are from PBE-GGA.

Geometry as CIF:
```
data_LaY2Pt
_chemical_formula_sum 'La4 Y8 Pt4'
_cell_length_a 8.783
_cell_length_b 8.783
_cell_length_c 6.372
_cell_angle_alpha 90.00
_cell_angle_beta 90.00
_cell_angle_gamma 90.00
_space_group_name_H-M_alt 'I -4 2 d'
_space_group_IT_number 122
_space_group_name_Hall 'I -4 2bw'
loop_
_atom_site_label
_atom_site_type_symbol
_atom_site_fract_x
_atom_site_fract_y
_atom_site_fract_z
La1 La 0.000 0.000 0.000
Y1 Y 0.173 0.250 0.625
Pt1 Pt 0.000 0.000 0.500
```

## Properties
ΔE_f: -1.84 eV per formula unit
Excess energy over the best structure of this formula in the dataset: 225 meV/atom

# 6
Here is a relaxed LaY2Pt crystal from Alexandria via LeMat-Bulk. Energies are from PBE-GGA.

Geometry as CIF:
```
data_LaY2Pt
_chemical_formula_sum 'La2 Y4 Pt2'
_cell_length_a 4.454
_cell_length_b 4.454
_cell_length_c 10.586
_cell_angle_alpha 90.00
_cell_angle_beta 90.00
_cell_angle_gamma 90.00
_space_group_name_H-M_alt 'I -4 m 2'
_space_group_IT_number 119
_space_group_name_Hall 'I -4 -2'
loop_
_atom_site_label
_atom_site_type_symbol
_atom_site_fract_x
_atom_site_fract_y
_atom_site_fract_z
La1 La 0.000 0.000 0.000
Y1 Y 0.000 0.000 0.500
Y2 Y 0.000 0.500 0.250
Pt1 Pt 0.000 0.500 0.750
```

## Properties
ΔE_f: -1.23 eV per formula unit
Excess energy over the best structure of this formula in the dataset: 377 meV/atom

# 7
Here is a relaxed LaYPt2 crystal from Alexandria via LeMat-Bulk. Energies are from PBE-GGA.

Geometry as CIF:
```
data_LaYPt2
_chemical_formula_sum 'La1 Y1 Pt2'
_cell_length_a 3.558
_cell_length_b 3.586
_cell_length_c 7.199
_cell_angle_alpha 90.00
_cell_angle_beta 90.06
_cell_angle_gamma 90.00
_space_group_name_H-M_alt 'P 1 2/m 1'
_space_group_IT_number 10
_space_group_name_Hall '-P 2y'
loop_
_atom_site_label
_atom_site_type_symbol
_atom_site_fract_x
_atom_site_fract_y
_atom_site_fract_z
La1 La 0.000 0.000 0.000
Y1 Y 0.000 0.000 0.500
Pt1 Pt 0.498 0.500 0.269
```

## Properties
ΔE_f: -4.54 eV per formula unit
Excess energy over the best structure of this formula in the dataset: 82 meV/atom

# 8
Here is a relaxed LaYPt2 crystal from Alexandria via LeMat-Bulk. Energies are from PBE-GGA.

Geometry as CIF:
```
data_LaYPt2
_chemical_formula_sum 'La2 Y2 Pt4'
_cell_length_a 4.608
_cell_length_b 3.847
_cell_length_c 10.788
_cell_angle_alpha 90.00
_cell_angle_beta 90.00
_cell_angle_gamma 90.00
_space_group_name_H-M_alt 'A m m 2'
_space_group_IT_number 38
_space_group_name_Hall 'A 2 -2'
loop_
_atom_site_label
_atom_site_type_symbol
_atom_site_fract_x
_atom_site_fract_y
_atom_site_fract_z
La1 La 0.000 0.000 0.000
Y1 Y 0.500 0.000 0.274
Pt1 Pt 0.000 0.000 0.728
Pt2 Pt 0.500 0.000 0.550
```

## Properties
ΔE_f: -4.87 eV per formula unit
Excess energy over the best structure of this formula in the dataset: 0 meV/atom